A plane-wave DFT calculation with GGA-PBE was carried out for a relaxed structure of MgBeI2.

The space group is I-42d (No. 122) and the conventional cell measures 7.752, 7.752 and 9.767 Å, with angles of 90.00, 90.00 and 90.00 degrees. The asymmetric unit holds Mg at (0.000, 0.000, 0.000), Be at (0.000, 0.000, 0.500) and I at (0.115, 0.250, 0.625).

The formation energy (no corrections) comes out at 0.05 eV per atom. As for the energy above the most stable polymorph in this dataset: 0.0000 eV per atom. The magnetization is 0.00 Bohr magnetons per cell.